First-principles (GGA+U) data for crystalline Mn2Cr3FeO8 at its relaxed geometry, as listed in the Alexandria database.

It has space group R-3m (No. 166, hexagonal axes), with a = 6.1053 Å, b = 6.1053 Å, c = 14.9367 Å, α = 90.00°, β = 90.00° and γ = 120.00°. The distinct sites, in fractional coordinates, are Mn at (0.0000, 0.0000, 0.1252), Cr at (0.0000, 0.5000, 0.0000), Fe at (0.0000, 0.0000, 0.5000), O at (0.0000, 0.0000, 0.2641) and O at (0.0363, 0.5182, 0.2550).

The final energy comes out at -7.7602 eV/atom. As for the density of states at the Fermi level: 0.0 states/eV per cell.

=====

First-principles (GGA+U) data for crystalline MnCr2FeO6 at its relaxed geometry, as listed in the Alexandria database.

It has space group P1 (No. 1), with a = 5.031 Å, b = 5.049 Å, c = 5.383 Å, α = 62.55°, β = 89.75° and γ = 61.06°. The distinct sites, in fractional coordinates, are Mn at (0.000, 0.000, 0.000), Cr at (0.297, 0.410, 0.892), Cr at (0.798, 0.403, 0.400), Fe at (0.493, 0.009, 0.487), O at (0.094, 0.203, 0.194), O at (0.198, 0.206, 0.692), O at (0.407, 0.486, 0.206), O at (0.579, 0.535, 0.679), O at (0.695, 0.908, 0.190) and O at (0.896, 0.903, 0.699).

The final energy comes out at -7.3449 eV/atom.

=====

First-principles (GGA+U) data for crystalline MnCr2FeO8 at its relaxed geometry, as listed in the Alexandria database.

It has space group P2/m (No. 10), with a = 4.452 Å, b = 5.973 Å, c = 4.462 Å, α = 90.00°, β = 90.39° and γ = 90.00°. The distinct sites, in fractional coordinates, are Mn at (0.000, 0.000, 0.000), Cr at (0.500, 0.250, 0.500), Fe at (0.000, 0.500, 0.000), O at (0.200, 0.247, 0.198), O at (0.302, 0.000, 0.695) and O at (0.302, 0.500, 0.695).

The final energy comes out at -6.9584 eV/atom. As for the density of states at the Fermi level: 2.2 states/eV per cell.